Sc2InPb, optimized geometry, DFT PBE; DFT formation energy = -0.15 eV/atom; space group = R3m, No. 160
1.0
-3.027 -3.230 -0.680
0.149 -3.756 2.435
-4.759 0.322 4.906
Sc In Pb
2 1 1
direct
0.077 0.077 0.770
0.258 0.258 0.225
0.498 0.498 0.506
0.667 0.667 0.000

KTaAgS4, optimized geometry, DFT PBE; space group = P2_1/m, No. 11; raw formation energy = -0.70 eV per atom
1.0
6.007 0.000 -0.046
0.000 7.345 0.000
-2.406 0.000 9.133
K Ta Ag S
2 2 2 8
direct
0.651 0.750 0.848
0.349 0.250 0.152
0.146 0.750 0.270
0.854 0.250 0.730
0.653 0.750 0.282
0.347 0.250 0.718
0.073 0.506 0.735
0.927 0.006 0.265
0.927 0.494 0.265
0.073 0.994 0.735
0.290 0.750 0.066
0.710 0.250 0.934
0.446 0.750 0.477
0.554 0.250 0.523

Pr3Nd4Y8, optimized geometry, DFT PBE; DFT formation energy = 0.35 eV/atom; space group = C2/m, No. 12
1.0
6.840 -0.091 -0.131
-3.284 8.752 1.195
-3.284 -1.917 8.623
Pr Nd Y
3 4 8
direct
0.500 0.500 0.000
0.500 0.000 0.500
0.500 0.500 0.500
0.500 0.000 0.000
0.000 0.500 0.000
0.000 0.000 0.000
0.000 0.000 0.500
0.528 0.267 0.267
0.000 0.642 0.358
0.007 0.266 0.266
0.500 0.745 0.255
0.500 0.255 0.745
0.993 0.734 0.734
0.000 0.358 0.642
0.472 0.733 0.733

TlInHgF2, optimized geometry, DFT PBE; offset from the most stable computed form = 3.46 kcal/mol of atoms; space group = P4/mmm, No. 123; raw formation energy = -1.23 eV per atom
1.0
4.543 0.000 0.000
0.000 4.543 0.000
0.000 0.000 5.707
Tl F Hg In
1 2 1 1
direct
0.500 0.500 0.500
0.000 0.500 0.000
0.500 0.000 0.000
0.000 0.000 0.500
0.000 0.000 0.000

LaTl2Ag, optimized geometry, DFT PBE; DFT formation energy = -0.01 eV/atom; space group = R-3m, No. 166
1.0
-9.232 -2.968 0.021
-8.349 -3.359 3.614
-9.418 -0.042 2.311
Tl Ag La
2 1 1
direct
0.988 0.988 0.988
0.512 0.512 0.512
0.250 0.250 0.250
0.750 0.750 0.750

TaTiB2, optimized geometry, DFT PBE; offset from the most stable computed form = 33.37 kcal/mol of atoms; DFT formation energy = 0.60 eV/atom; space group = I-42d, No. 122
1.0
-2.341 -0.913 -4.281
0.487 -4.879 0.774
-5.319 -2.952 0.660
B Ti Ta
4 2 2
direct
0.625 0.125 0.250
0.125 0.625 0.250
0.375 0.375 0.750
0.875 0.875 0.750
0.500 0.500 0.000
0.250 0.750 0.500
0.000 0.000 0.000
0.750 0.250 0.500

Summary of Fermi-level density of states in states/eV/f.u.
2.42, 5.38, 31.89, 1.94, 2.56, 2.26
(order as listed above)
Summary of total DFT energy (no corrections) in Ry/atom
-0.3621, -0.3908, -0.3911, -0.2250, -0.2307, -0.5641
(order as listed above)
Summary of total moment in μB per cell
0.0, 0.0, 0.0, 0.0, 0.0, 0.0
(order as listed above)